! LaGeAsSe2 | the Alexandria database | GGA-PBE | relaxed; values from VASP
&SYSTEM
  ibrav = 0, nat = 5, ntyp = 4
/
ATOMIC_SPECIES
As 74.92 As.upf
Ge 72.64 Ge.upf
Se 78.96 Se.upf
La 138.91 La.upf
CELL_PARAMETERS angstrom
-1.114 4.924 -0.246
-1.852 -0.652 -4.658
-4.471 -0.916 1.906
ATOMIC_POSITIONS angstrom
As -2.235 -0.458 0.953
Ge 0.000 0.000 0.000
Se -0.926 -0.326 -2.329
Se -0.557 2.462 -0.123
La -3.718 1.678 -1.499
! D(E_F) = 3.1 states/eV per cell
! Magnetization = 0.0 μB per cell
! Raw formation energy = -0.53 eV/atom
! Polymorph energy (0 for the lowest one) = 0.0000 eV per atom

! CuIrBr2 | the Alexandria database | GGA-PBE | relaxed; values from VASP
&SYSTEM
  ibrav = 0, nat = 4, ntyp = 3
/
ATOMIC_SPECIES
Br 79.90 Br.upf
Cu 63.55 Cu.upf
Ir 192.22 Ir.upf
CELL_PARAMETERS angstrom
3.330 0.000 0.000
0.000 7.093 -0.200
0.000 4.427 3.059
ATOMIC_POSITIONS angstrom
Br 0.000 0.000 0.000
Br 1.665 3.547 -0.100
Cu 1.665 5.760 1.430
Ir 0.000 2.213 1.529
! D(E_F) = 2.3 states/eV per cell
! Magnetization = 0.0 μB per cell
! Raw formation energy = 0.61 eV/atom
! Polymorph energy (0 for the lowest one) = 0.3584 eV per atom

! HfInAs3 | the Alexandria database | GGA-PBE | relaxed; values from VASP
&SYSTEM
  ibrav = 0, nat = 5, ntyp = 3
/
ATOMIC_SPECIES
As 74.92 As.upf
Hf 178.49 Hf.upf
In 114.82 In.upf
CELL_PARAMETERS angstrom
-2.973 2.608 3.165
2.425 -2.035 3.955
3.307 3.836 -0.054
ATOMIC_POSITIONS angstrom
As 1.212 -1.017 1.977
As 1.654 1.918 -0.027
As -1.487 1.304 1.582
Hf 1.379 2.205 3.533
In 0.000 0.000 0.000
! D(E_F) = 4.8 states/eV per cell
! Magnetization = 0.0 μB per cell
! Calculated formation energy = 990 meV per atom
! Polymorph energy (0 for the lowest one) = 0.9094 eV per atom

! CaTlAs2 | the Alexandria database | GGA-PBE | relaxed; values from VASP
&SYSTEM
  ibrav = 0, nat = 4, ntyp = 3
/
ATOMIC_SPECIES
Tl 204.38 Tl.upf
Ca 40.08 Ca.upf
As 74.92 As.upf
CELL_PARAMETERS angstrom
-4.548 -2.716 0.341
3.515 -2.944 2.675
-0.814 1.737 2.981
ATOMIC_POSITIONS angstrom
Tl 1.350 -0.604 2.828
Ca -2.681 -0.490 1.661
As 0.000 0.000 0.000
As -0.516 -2.830 1.508
! D(E_F) = 1.7 states/eV per cell
! Magnetization = 0.0 μB per cell
! Calculated formation energy = -325 meV per atom
! Polymorph energy (0 for the lowest one) = 0.1719 eV per atom